# 1
This record from Alexandria describes a relaxed MoOs crystal. The functional is PBE.

**Formation enthalpy at 0 K**: 0.108 eV/atom
**Mass density**: 15.71 g/cm³
**SG**: No. 141
**V**: 15.12 Å³ per atom

```
4
Lattice="-2.6861 2.3684 -1.5466 -1.8001 -4.1773 1.6490 -1.7373 0.3013 3.4787" Properties=species:S:1:pos:R:3 pbc="T T T"
Mo -1.7375 0.3010 3.4787
Mo -2.0057 -1.4210 1.3076
Os -4.0117 -2.8423 2.6151
Os -4.2178 -0.0866 2.2736
```


# 2
This record from Alexandria describes a relaxed Ce2NdCoPt crystal. The functional is PBE.

**Formation enthalpy at 0 K**: -0.269 eV/atom
**Mass density**: 8.10 g/cm³
**SG**: No. 99
**V**: 27.82 Å³ per atom

```
5
Lattice="4.8894 0.0000 0.0000 0.0000 4.8894 0.0000 0.0000 0.0002 5.8194" Properties=species:S:1:pos:R:3 pbc="T T T"
Ce 0.0000 2.4449 5.4888
Ce 2.4447 4.8895 5.4892
Nd 0.0000 4.8895 2.7999
Co 0.0000 0.0002 5.7579
Pt 2.4447 2.4450 3.7418
```